1.
DFT (GGA-PBE) results for an optimized crystal structure of Li2ZnAu.

The structure in POSCAR format:
```
Li2ZnAu
1.0
0.000 3.102 3.102
3.102 0.000 3.102
3.102 3.102 0.000
Li Zn Au
2 1 1
direct
0.000 0.000 0.000 Li
0.250 0.250 0.250 Li
0.500 0.500 0.500 Zn
0.750 0.750 0.750 Au
```

Results
- space-group type = F-43m
- uncorrected energy (eV per atom) = -2.5278

---

2.
DFT (GGA-PBE) results for an optimized crystal structure of ScInCuNi.

The structure in POSCAR format:
```
ScInCuNi
1.0
0.000 3.190 3.190
3.190 0.000 3.190
3.190 3.190 0.000
Sc In Cu Ni
1 1 1 1
direct
0.000 0.000 0.000 Sc
0.750 0.750 0.750 In
0.500 0.500 0.500 Cu
0.250 0.250 0.250 Ni
```

Results
- total magnetic moment (μB/f.u.) = 0.001
- polymorph energy (0 for the lowest one) (eV per formula unit) = 0.92
- space-group type = F-43m
- uncorrected energy (eV per atom) = -4.7335

---

3.
DFT (GGA-PBE) results for an optimized crystal structure of UAgOs.

The structure in POSCAR format:
```
UAgOs
1.0
0.000 3.207 3.207
3.207 0.000 3.207
3.207 3.207 0.000
U Ag Os
1 1 1
direct
0.000 0.000 0.000 U
0.500 0.500 0.500 Ag
0.750 0.750 0.750 Os
```

Results
- energy of formation (meV/atom) = 631
- total magnetic moment (μB/f.u.) = 1.341
- polymorph energy (0 for the lowest one) (eV per formula unit) = 0.00
- space-group type = F-43m
- uncorrected energy (eV per atom) = -7.8178

---

4.
DFT (GGA-PBE) results for an optimized crystal structure of NaLu.

The structure in POSCAR format:
```
NaLu
1.0
0.000 3.569 3.569
3.569 0.000 3.569
3.569 3.569 0.000
Na Lu
1 1
direct
0.000 0.000 0.000 Na
0.250 0.250 0.250 Lu
```

Results
- total magnetic moment (μB/f.u.) = 0.159
- polymorph energy (0 for the lowest one) (eV per formula unit) = 2.49
- space-group type = F-43m
- uncorrected energy (eV per atom) = -1.3618

---

5.
DFT (GGA-PBE) results for an optimized crystal structure of Tm12TlCo6.

The structure in POSCAR format:
```
Tm12TlCo6
1.0
-4.756 4.756 4.756
4.756 -4.756 4.756
4.756 4.756 -4.756
Tm Tl Co
12 1 6
direct
0.108 0.806 0.302 Tm
0.194 0.302 0.496 Tm
0.194 0.698 0.892 Tm
0.302 0.108 0.806 Tm
0.302 0.496 0.194 Tm
0.496 0.194 0.302 Tm
0.504 0.806 0.698 Tm
0.698 0.504 0.806 Tm
0.698 0.892 0.194 Tm
0.806 0.302 0.108 Tm
0.806 0.698 0.504 Tm
0.892 0.194 0.698 Tm
0.000 0.000 0.000 Tl
0.114 0.614 0.500 Co
0.386 0.500 0.886 Co
0.500 0.114 0.614 Co
0.500 0.886 0.386 Co
0.614 0.500 0.114 Co
0.886 0.386 0.500 Co
```

Results
- total magnetic moment (μB/f.u.) = 0.077
- space-group type = Im-3
- uncorrected energy (eV per atom) = -5.4634

---

6.
DFT (GGA-PBE) results for an optimized crystal structure of NaLuCdSe3.

The structure in POSCAR format:
```
NaLuCdSe3
1.0
8.140 0.000 0.000
0.000 4.132 0.000
-2.744 0.000 9.762
Na Lu Cd Se
2 2 2 6
direct
0.210 0.250 0.210 Na
0.790 0.750 0.790 Na
0.325 0.750 0.861 Lu
0.675 0.250 0.139 Lu
0.081 0.250 0.608 Cd
0.919 0.750 0.392 Cd
0.084 0.250 0.866 Se
0.259 0.750 0.553 Se
0.442 0.750 0.145 Se
0.558 0.250 0.855 Se
0.741 0.250 0.447 Se
0.916 0.750 0.134 Se
```

Results
- total magnetic moment (μB/f.u.) = 0.002
- polymorph energy (0 for the lowest one) (eV per formula unit) = 0.00
- space-group type = P2_1/m
- uncorrected energy (eV per atom) = -4.0970

---

7.
DFT (GGA-PBE) results for an optimized crystal structure of Zr2SiGe.

The structure in POSCAR format:
```
Zr2SiGe
1.0
3.896 0.000 0.000
0.000 6.979 0.000
0.000 0.000 5.381
Zr Si Ge
4 2 2
direct
0.000 0.071 0.000 Zr
0.000 0.577 0.757 Zr
0.500 0.423 0.257 Zr
0.500 0.929 0.500 Zr
0.000 0.205 0.481 Si
0.500 0.795 0.981 Si
0.000 0.706 0.272 Ge
0.500 0.294 0.772 Ge
```

Results
- total magnetic moment (μB/f.u.) = 0.003
- space-group type = Pmn2_1
- uncorrected energy (eV per atom) = -7.6425

---

8.
DFT (GGA-PBE) results for an optimized crystal structure of GdCo9Si2.

The structure in POSCAR format:
```
GdCo9Si2
1.0
-4.818 4.818 3.131
4.818 -4.818 3.131
4.818 4.818 -3.131
Gd Co Si
2 18 4
direct
0.375 0.625 0.750 Gd
0.625 0.375 0.250 Gd
0.125 0.875 0.250 Co
0.139 0.560 0.332 Co
0.139 0.807 0.579 Co
0.193 0.272 0.332 Co
0.193 0.861 0.921 Co
0.272 0.193 0.832 Co
0.272 0.440 0.079 Co
0.440 0.272 0.579 Co
0.440 0.861 0.168 Co
0.560 0.139 0.832 Co
0.560 0.728 0.421 Co
0.728 0.560 0.921 Co
0.728 0.807 0.168 Co
0.807 0.139 0.079 Co
0.807 0.728 0.668 Co
0.861 0.193 0.421 Co
0.861 0.440 0.668 Co
0.875 0.125 0.750 Co
0.000 0.000 0.000 Si
0.000 0.000 0.500 Si
0.000 0.500 0.000 Si
0.500 0.000 0.500 Si
```

Results
- total magnetic moment (μB/f.u.) = 9.376
- space-group type = I4_1/amd
- uncorrected energy (eV per atom) = -6.9337